The following is a PBE with a Hubbard U calculation of a relaxed Fe2SiPdO crystal, from Alexandria.

```
Fe2SiPdO
1.0
4.9384 0.0000 0.0000
0.0000 4.9384 0.0000
0.0000 0.0000 4.4272
Fe Si Pd O
2 1 1 1
direct
0.0000 0.5000 0.0000 Fe
0.5000 0.0000 0.0000 Fe
0.0000 0.0000 0.5000 Si
0.0000 0.0000 0.0000 Pd
0.5000 0.5000 0.5000 O
```

Output
E_tot in eV for the cell shown: -22.487
ρ in Mg/m³: 4.0